DFT (PBE-GGA) results for a relaxed SrNpBi2 crystal.

Structure (extended XYZ):
```
4
Lattice="6.052 0.000 0.000 0.000 6.052 0.000 0.000 0.000 3.456" Properties=species:S:1:pos:R:3 pbc="T T T"
Sr 0.000 0.000 0.000
Np 3.026 3.026 0.000
Bi 0.000 3.026 1.728
Bi 3.026 0.000 1.728
```

- Fermi-level density of states: 12.026 states/eV/f.u.
- ΔE_f: -1.07 eV per formula unit
- Crystal system: tetragonal
- ΔE to the lowest computed polymorph: 6.30 kJ/mol of atoms
- Magnetization: 4.42 μB per cell
- Total energy: -5.863 eV/atom